Below is a relaxed Nd12Sm3Zn crystal, with properties calculated at the GGA-PBE level.

- DOS(E_F): 23.13 states/eV per cell
- Magnetization: 0.00 μB/cell
- Theoretical density: 6.95 Mg/m³
- Energy of formation: 0.014 eV per atom
- Crystal system: tetragonal

a b c (Å): 5.102 5.102 20.613
angles (deg): 90.00 90.00 90.00
Element x y z (fractional)
Zn1 0.000 0.000 0.000
Sm1 0.000 0.000 0.755
Sm2 0.000 0.000 0.245
Sm3 0.000 0.000 0.500
Nd1 0.000 0.500 0.628
Nd2 0.500 0.500 0.000
Nd3 0.500 0.000 0.883
Nd4 0.500 0.000 0.628
Nd5 0.500 0.500 0.242
Nd6 0.000 0.500 0.372
Nd7 0.000 0.500 0.117
Nd8 0.500 0.000 0.372
Nd9 0.500 0.000 0.117
Nd10 0.500 0.500 0.500
Nd11 0.000 0.500 0.883
Nd12 0.500 0.500 0.758